1.
Ac2Tb4Ge3O2: optimized geometry, PBE.

Cell lengths 4.656, 4.656, 12.925 Å; angles 100.38, 100.38, 90.00 degrees
Positions (direct):
Ac  0.303  0.303  0.606
Ac  0.697  0.697  0.394
Tb  0.423  0.923  0.846
Tb  0.923  0.423  0.846
Tb  0.077  0.577  0.154
Tb  0.577  0.077  0.154
Ge  0.000  0.000  0.000
Ge  0.165  0.165  0.330
Ge  0.835  0.835  0.670
O  0.411  0.411  0.823
O  0.589  0.589  0.177

Its space group is I4/mmm (139). The density of states at the Fermi level comes out at 7.1 states/eV per cell. The value obtained for the uncorrected energy is -6.17 eV/atom.

---

2.
Cs2NaBiF8: optimized geometry, PBE.

Cell lengths 5.273, 6.510, 8.910 Å; angles 89.93, 90.03, 96.84 degrees
Positions (direct):
Cs  0.499  0.500  0.733
Cs  0.501  0.500  0.267
Na  0.000  0.000  0.500
Bi  0.000  0.000  0.000
F  0.115  0.811  0.165
F  0.654  0.818  0.000
F  0.885  0.187  0.166
F  0.885  0.189  0.835
F  0.346  0.182  0.000
F  0.115  0.813  0.834
F  0.722  0.739  0.500
F  0.278  0.261  0.500

Its space group is P-1 (2). The density of states at the Fermi level comes out at 10.2 states/eV per cell. The value obtained for the uncorrected energy is -4.14 eV/atom.

---

3.
Ce2Al5Ag3: optimized geometry, PBE.

Cell lengths 6.167, 8.781, 8.781 Å; angles 75.71, 69.44, 69.44 degrees
Positions (direct):
Ce  0.131  0.605  0.133
Ce  0.631  0.133  0.605
Ce  0.869  0.395  0.867
Ce  0.369  0.867  0.395
Al  0.387  0.263  0.963
Al  0.887  0.963  0.263
Al  0.613  0.737  0.037
Al  0.113  0.037  0.737
Al  0.482  0.768  0.768
Al  0.518  0.232  0.232
Al  0.750  0.500  0.500
Al  0.250  0.500  0.500
Al  0.018  0.232  0.232
Al  0.982  0.768  0.768
Ag  0.367  0.515  0.751
Ag  0.867  0.751  0.515
Ag  0.633  0.485  0.249
Ag  0.133  0.249  0.485
Ag  0.250  0.000  0.000
Ag  0.750  0.000  0.000

Its space group is Ibam (72). The density of states at the Fermi level comes out at 28.5 states/eV per cell. The formation energy from the elements is -307.4 kJ/mol of formula units. The value obtained for the uncorrected energy is -4.23 eV/atom.

---

4.
YTl2Si: optimized geometry, PBE.

Cell lengths 8.290, 8.290, 6.591 Å; angles 51.03, 51.03, 90.00 degrees
Positions (direct):
Y  0.000  0.000  0.000
Y  0.750  0.250  0.500
Tl  0.583  0.125  0.250
Tl  0.167  0.625  0.250
Tl  0.375  0.417  0.750
Tl  0.875  0.833  0.750
Si  0.500  0.500  0.000
Si  0.250  0.750  0.500

Its space group is I-42d (122). The offset from the most stable computed form comes out at 109 meV/atom. The density of states at the Fermi level comes out at 4.5 states/eV per cell. The value obtained for the uncorrected energy is -4.17 eV/atom.

---

5.
KNa4In: optimized geometry, PBE.

Cell lengths 6.954, 8.635, 9.424 Å; angles 117.27, 108.80, 90.00 degrees
Positions (direct):
K  0.856  0.778  0.556
K  0.144  0.222  0.444
Na  0.233  0.662  0.324
Na  0.446  0.092  0.782
Na  0.000  0.210  0.000
Na  0.554  0.310  0.218
Na  0.767  0.338  0.676
Na  0.554  0.908  0.218
Na  0.000  0.790  0.000
Na  0.446  0.690  0.782
In  0.271  0.468  0.937
In  0.729  0.532  0.063

Its space group is C2/m (12). The offset from the most stable computed form comes out at 0 meV/atom. The density of states at the Fermi level comes out at 4.5 states/eV per cell. The formation energy from the elements is -6.7 kJ/mol of formula units. The value obtained for the uncorrected energy is -1.53 eV/atom.

---

6.
Tm12Tl6Ga: optimized geometry, PBE.

Cell lengths 8.681, 8.681, 8.681 Å; angles 99.69, 99.69, 99.69 degrees
Positions (direct):
Tm  0.820  0.568  0.429
Tm  0.429  0.820  0.568
Tm  0.568  0.429  0.820
Tm  0.180  0.432  0.571
Tm  0.571  0.180  0.432
Tm  0.432  0.571  0.180
Tm  0.064  0.949  0.317
Tm  0.051  0.683  0.936
Tm  0.683  0.936  0.051
Tm  0.936  0.051  0.683
Tm  0.949  0.317  0.064
Tm  0.317  0.064  0.949
Tl  0.700  0.865  0.386
Tl  0.614  0.300  0.135
Tl  0.135  0.614  0.300
Tl  0.300  0.135  0.614
Tl  0.386  0.700  0.865
Tl  0.865  0.386  0.700
Ga  0.000  0.000  0.000

Its space group is R-3 (148). The density of states at the Fermi level comes out at 9.5 states/eV per cell. The formation energy from the elements is -7.0 kJ/mol of formula units. The value obtained for the uncorrected energy is -3.73 eV/atom.

---

7.
CaDy2Y3Se6: optimized geometry, PBE.

Cell lengths 4.085, 8.229, 9.162 Å; angles 103.06, 102.88, 90.00 degrees
Positions (direct):
Ca  0.500  0.000  0.000
Dy  0.830  0.659  0.660
Dy  0.170  0.341  0.340
Y  0.500  0.500  0.000
Y  0.833  0.173  0.666
Y  0.167  0.827  0.334
Se  0.333  0.917  0.667
Se  0.665  0.582  0.330
Se  0.667  0.083  0.333
Se  0.002  0.251  0.003
Se  0.998  0.749  0.997
Se  0.335  0.418  0.670

Its space group is C2/m (12). The density of states at the Fermi level comes out at 5.3 states/eV per cell. The value obtained for the uncorrected energy is -6.09 eV/atom.

---

8.
ZrCr3In: optimized geometry, PBE.

Cell lengths 4.813, 4.813, 4.813 Å; angles 90.00, 90.00, 90.00 degrees
Positions (direct):
Cr  0.000  0.500  0.000
Cr  0.000  0.000  0.500
Cr  0.500  0.000  0.000
Zr  0.000  0.000  0.000
In  0.500  0.500  0.500

Its space group is Pm-3m (221). The offset from the most stable computed form comes out at 0 meV/atom. The density of states at the Fermi level comes out at 3.3 states/eV per cell. The formation energy from the elements is 736.9 kJ/mol of formula units. The value obtained for the uncorrected energy is -6.50 eV/atom.

---

9.
CaCd2H8Ir: optimized geometry, PBE.

Cell lengths 4.673, 4.673, 6.565 Å; angles 90.00, 90.00, 120.00 degrees
Positions (direct):
Ca  0.000  0.000  0.500
Cd  0.667  0.333  0.188
Cd  0.333  0.667  0.812
H  0.838  0.677  0.833
H  0.323  0.162  0.833
H  0.838  0.162  0.833
H  0.162  0.323  0.167
H  0.677  0.838  0.167
H  0.162  0.838  0.167
H  0.667  0.333  0.475
H  0.333  0.667  0.525
Ir  0.000  0.000  0.000

Its space group is P-3m1 (164). The density of states at the Fermi level comes out at 1.6 states/eV per cell. The value obtained for the uncorrected energy is -3.38 eV/atom.

---

10.
Dy4Y4Tm: optimized geometry, PBE.

Cell lengths 5.010, 7.942, 7.942 Å; angles 84.29, 71.61, 71.61 degrees
Positions (direct):
Dy  0.666  0.334  0.334
Dy  0.334  0.666  0.666
Dy  0.000  0.666  0.334
Dy  0.000  0.334  0.666
Y  0.666  0.668  0.000
Y  0.334  0.332  0.000
Y  0.666  0.000  0.668
Y  0.334  0.000  0.332
Tm  0.000  0.000  0.000

Its space group is I4/mmm (139). The density of states at the Fermi level comes out at 13.3 states/eV per cell. The formation energy from the elements is 20.5 kJ/mol of formula units. The value obtained for the uncorrected energy is -5.39 eV/atom.

---

11.
Nd4Sm5Al: optimized geometry, PBE.

Cell lengths 3.652, 3.651, 24.581 Å; angles 90.00, 90.00, 90.00 degrees
Positions (direct):
Nd  0.000  0.000  0.184
Nd  0.000  0.000  0.395
Nd  0.000  0.000  0.605
Nd  0.000  0.000  0.816
Sm  0.500  0.500  0.076
Sm  0.500  0.500  0.289
Sm  0.500  0.500  0.500
Sm  0.500  0.500  0.711
Sm  0.500  0.500  0.924
Al  0.000  0.000  0.000

Its space group is P4/mmm (123). The offset from the most stable computed form comes out at 0 meV/atom. The density of states at the Fermi level comes out at 13.6 states/eV per cell. The formation energy from the elements is -53.7 kJ/mol of formula units. The value obtained for the uncorrected energy is -4.70 eV/atom.

---

12.
Tb3CuGeSe7: optimized geometry, PBE.

Cell lengths 10.369, 10.369, 6.133 Å; angles 90.00, 90.00, 120.00 degrees
Positions (direct):
Tb  0.644  0.779  0.758
Tb  0.865  0.644  0.258
Tb  0.221  0.865  0.758
Tb  0.779  0.135  0.258
Tb  0.135  0.356  0.758
Tb  0.356  0.221  0.258
Cu  0.000  0.000  0.705
Cu  0.000  0.000  0.205
Ge  0.667  0.333  0.841
Ge  0.333  0.667  0.341
Se  0.898  0.738  0.721
Se  0.667  0.333  0.455
Se  0.424  0.518  0.507
Se  0.482  0.907  0.507
Se  0.738  0.840  0.221
Se  0.160  0.898  0.221
Se  0.576  0.482  0.007
Se  0.840  0.102  0.721
Se  0.333  0.667  0.955
Se  0.907  0.424  0.007
Se  0.262  0.160  0.721
Se  0.518  0.093  0.007
Se  0.102  0.262  0.221
Se  0.093  0.576  0.507

Its space group is P6_3 (173). The value obtained for the uncorrected energy is -5.20 eV/atom.

---

13.
Eu2GdEr: optimized geometry, PBE.

Cell lengths 5.840, 5.840, 5.840 Å; angles 60.00, 60.00, 60.00 degrees
Positions (direct):
Eu  0.250  0.250  0.250
Eu  0.750  0.750  0.750
Gd  0.000  0.000  0.000
Er  0.500  0.500  0.500

Its space group is Fm-3m (225). The density of states at the Fermi level comes out at 4.8 states/eV per cell. The formation energy from the elements is 60.7 kJ/mol of formula units. The value obtained for the uncorrected energy is -9.64 eV/atom.

---

14.
ScRh2Cl: optimized geometry, PBE.

Cell lengths 3.024, 3.024, 7.855 Å; angles 90.00, 90.00, 90.00 degrees
Positions (direct):
Cl  0.500  0.500  0.700
Rh  0.000  0.000  0.051
Rh  0.500  0.500  0.263
Sc  0.000  0.000  0.487

Its space group is P4mm (99). The offset from the most stable computed form comes out at 113 meV/atom. The density of states at the Fermi level comes out at 4.8 states/eV per cell. The value obtained for the uncorrected energy is -6.11 eV/atom.

---

15.
BaMgRe: optimized geometry, PBE.

Cell lengths 4.938, 4.938, 4.938 Å; angles 60.00, 60.00, 60.00 degrees
Positions (direct):
Ba  0.000  0.000  0.000
Mg  0.500  0.500  0.500
Re  0.250  0.250  0.250

Its space group is F-43m (216). The offset from the most stable computed form comes out at 398 meV/atom. The density of states at the Fermi level comes out at 4.5 states/eV per cell. The formation energy from the elements is 370.8 kJ/mol of formula units. The value obtained for the uncorrected energy is -4.04 eV/atom.

---

16.
Th3ZnCo: optimized geometry, PBE.

Cell lengths 6.097, 6.097, 8.455 Å; angles 68.23, 68.23, 62.90 degrees
Positions (direct):
Th  0.315  0.315  0.877
Th  0.685  0.685  0.123
Th  0.027  0.027  0.773
Th  0.973  0.973  0.227
Th  0.709  0.709  0.671
Th  0.291  0.291  0.329
Zn  0.703  0.297  0.500
Zn  0.297  0.703  0.500
Co  0.299  0.701  0.000
Co  0.701  0.299  0.000

Its space group is C2/m (12). The offset from the most stable computed form comes out at 0 meV/atom. The density of states at the Fermi level comes out at 12.5 states/eV per cell. The formation energy from the elements is -87.1 kJ/mol of formula units. The value obtained for the uncorrected energy is -6.31 eV/atom.

---

17.
IrOsW2: optimized geometry, PBE.

Cell lengths 4.805, 4.805, 4.805 Å; angles 131.55, 131.55, 70.93 degrees
Positions (direct):
Ir  0.250  0.750  0.500
Os  0.750  0.250  0.500
W  0.000  0.000  0.000
W  0.500  0.500  0.000

Its space group is I4/mmm (139). The offset from the most stable computed form comes out at 0 meV/atom. The density of states at the Fermi level comes out at 3.0 states/eV per cell. The formation energy from the elements is -46.3 kJ/mol of formula units. The value obtained for the uncorrected energy is -11.62 eV/atom.

---

18.
KSi2Au2: optimized geometry, PBE.

Cell lengths 8.366, 8.366, 2.835 Å; angles 90.00, 90.00, 90.00 degrees
Positions (direct):
K  0.000  0.000  0.000
K  0.500  0.500  0.000
Au  0.153  0.653  0.500
Au  0.653  0.847  0.500
Au  0.847  0.347  0.500
Au  0.347  0.153  0.500
Si  0.364  0.864  0.000
Si  0.864  0.636  0.000
Si  0.636  0.136  0.000
Si  0.136  0.364  0.000

Its space group is P4/mbm (127). The offset from the most stable computed form comes out at 240 meV/atom. The density of states at the Fermi level comes out at 3.3 states/eV per cell. The value obtained for the uncorrected energy is -3.58 eV/atom.

---

19.
Tb3Pr2DyHo6: optimized geometry, PBE.

Cell lengths 6.179, 6.179, 11.789 Å; angles 94.99, 94.99, 119.97 degrees
Positions (direct):
Tb  0.167  0.833  0.500
Tb  0.833  0.167  0.500
Tb  0.500  0.500  0.500
Pr  0.334  0.666  0.000
Pr  0.666  0.334  0.000
Dy  0.000  0.000  0.000
Ho  0.915  0.583  0.747
Ho  0.752  0.752  0.253
Ho  0.085  0.417  0.253
Ho  0.583  0.915  0.747
Ho  0.248  0.248  0.747
Ho  0.417  0.085  0.253

Its space group is C2/m (12). The density of states at the Fermi level comes out at 15.0 states/eV per cell. The formation energy from the elements is 19.9 kJ/mol of formula units. The value obtained for the uncorrected energy is -4.61 eV/atom.

---

20.
Ba3LiTl12: optimized geometry, PBE.

Cell lengths 5.249, 5.249, 18.653 Å; angles 90.00, 90.00, 90.00 degrees
Positions (direct):
Ba  0.000  0.000  0.232
Ba  0.000  0.000  0.500
Ba  0.000  0.000  0.768
Li  0.000  0.000  0.000
Tl  0.500  0.500  0.000
Tl  0.500  0.500  0.241
Tl  0.500  0.500  0.500
Tl  0.500  0.500  0.759
Tl  0.500  0.000  0.103
Tl  0.500  0.000  0.368
Tl  0.500  0.000  0.632
Tl  0.500  0.000  0.897
Tl  0.000  0.500  0.103
Tl  0.000  0.500  0.368
Tl  0.000  0.500  0.632
Tl  0.000  0.500  0.897

Its space group is P4/mmm (123). The density of states at the Fermi level comes out at 10.3 states/eV per cell. The formation energy from the elements is -319.2 kJ/mol of formula units. The value obtained for the uncorrected energy is -2.46 eV/atom.